1.
GGA-PBE Ac6ZnNi2Cl3, relaxed; magnetic moment = 0.00 μB per formula unit
1.0
4.344 0.000 0.000
0.000 9.234 0.114
-2.172 -2.880 9.513
Ac Zn Ni Cl
6 1 2 3
Cartesian
0.000 6.278 6.491
2.172 4.149 3.441
2.172 0.076 3.136
0.000 2.254 0.301
2.172 4.100 9.325
0.000 2.205 6.186
2.172 0.000 0.000
2.172 4.234 6.372
0.000 2.120 3.254
2.172 4.617 0.057
2.172 -0.361 6.546
0.000 6.715 3.080

=====

2.
GGA-PBE AcNpCl2, relaxed; magnetic moment = 4.89 μB per formula unit
1.0
3.671 0.000 0.000
1.835 3.179 0.000
1.835 1.060 10.163
Np Ac Cl
1 1 2
Cartesian
0.000 0.000 0.000
3.671 2.119 5.081
1.835 1.060 7.320
5.506 3.179 2.843

=====

3.
GGA-PBE AcNpCl6, relaxed; energy relative to the lowest polymorph listed for this composition = 0.0 meV per atom; magnetic moment = 4.00 μB per formula unit
1.0
6.968 0.008 0.010
3.476 6.039 0.014
3.472 2.006 6.684
Ac Np Cl
1 1 6
Cartesian
6.958 4.027 3.354
0.000 0.000 0.000
4.603 3.902 5.045
8.237 2.049 5.048
5.891 1.930 1.655
5.678 6.004 1.660
9.312 4.152 1.663
8.024 6.123 5.053

=====

4.
GGA-PBE AcNpCl6, relaxed; energy relative to the lowest polymorph listed for this composition = 2.4 meV per atom; magnetic moment = 4.00 μB per formula unit
1.0
-4.338 2.015 -1.506
-4.621 0.705 5.907
-0.292 7.271 2.219
Ac Np Cl
1 1 6
Cartesian
0.000 0.000 0.000
-4.626 4.995 3.310
-6.142 7.426 2.579
-3.174 6.746 1.469
-4.518 3.499 0.997
-6.077 3.245 5.151
-3.110 2.565 4.041
-4.734 6.492 5.623

=====

5.
GGA-PBE Ac2Cl3O, relaxed; magnetic moment = 0.00 μB per formula unit
1.0
4.242 0.000 0.979
1.539 7.809 3.009
-0.198 0.072 10.532
Ac Cl O
4 6 2
Cartesian
4.252 3.761 10.608
1.331 4.120 3.912
2.806 2.132 7.196
2.777 5.750 7.324
0.267 1.043 8.520
5.316 6.838 5.999
3.671 5.394 13.123
1.911 2.487 1.396
4.440 6.676 9.793
1.142 1.205 4.727
2.399 3.898 8.960
3.184 3.984 5.560

=====

6.
GGA-PBE Ac2ClO, relaxed; energy relative to the lowest polymorph listed for this composition = 639.3 meV per atom; magnetic moment = 0.00 μB per formula unit
1.0
3.542 0.000 0.000
0.000 3.542 0.000
0.000 0.000 7.357
Ac O Cl
2 1 1
Cartesian
0.000 0.000 5.673
0.000 0.000 1.684
1.771 1.771 0.000
1.771 1.771 3.678

=====

7.
GGA-PBE Ac2ClO, relaxed; energy relative to the lowest polymorph listed for this composition = 0.0 meV per atom; magnetic moment = 0.00 μB per formula unit
1.0
3.861 0.000 0.000
1.930 3.344 0.000
1.930 1.115 7.555
Ac O Cl
2 1 1
Cartesian
5.791 3.344 6.057
1.930 1.115 1.498
0.000 0.000 0.000
3.861 2.229 3.778

=====

8.
GGA-PBE Ac3OsCl2O6, relaxed; magnetic moment = 2.91 μB per formula unit
1.0
-0.873 -5.740 -0.116
2.097 -0.186 -6.591
4.554 -1.584 5.125
Ac Os Cl O
3 1 2 6
Cartesian
1.048 -0.093 -3.296
2.889 -3.755 -0.791
1.840 -3.662 2.505
-0.436 -2.870 -0.058
3.437 -1.439 -2.498
2.340 -6.071 0.916
0.492 -4.199 -1.363
5.286 -3.311 -0.219
4.378 -5.086 -2.096
1.400 -2.423 0.514
4.134 -3.209 3.399
1.643 -4.301 -4.982

=====

9.
GGA-PBE AcP2ClO6, relaxed; magnetic moment = 0.00 μB per formula unit
1.0
-0.979 4.095 2.453
-8.042 -1.956 2.779
3.088 -2.321 7.830
Ac P Cl O
2 4 2 12
Cartesian
0.570 -1.223 7.412
-6.504 1.041 5.650
-4.664 -1.535 7.878
-2.501 -0.637 3.177
-1.270 1.354 5.184
-3.433 0.456 9.885
-7.333 -0.963 3.825
1.399 0.782 9.237
-5.784 -2.088 8.703
-2.586 -0.045 1.805
-0.150 1.907 4.359
-3.348 -0.137 11.257
-5.025 -0.658 6.710
-3.664 -1.464 3.653
-0.909 0.477 6.352
-2.270 1.283 9.409
-3.805 -2.769 7.269
-2.328 0.562 4.254
-2.129 2.587 5.793
-3.606 -0.743 8.808

=====

10.
GGA-PBE AcPClO4, relaxed; magnetic moment = 0.00 μB per formula unit
1.0
-4.827 4.428 -1.008
-5.755 -0.922 3.155
1.449 4.082 5.569
Ac P Cl O
2 2 2 8
Cartesian
-1.981 4.378 5.185
-7.153 3.210 2.531
-5.788 5.264 5.475
-3.346 2.324 2.240
-0.147 0.621 0.766
-8.987 6.966 6.950
-2.396 2.956 3.265
-6.738 4.632 4.451
-3.241 0.753 2.271
-4.808 2.753 2.467
-6.227 4.907 6.945
-2.907 2.681 0.771
-4.326 4.834 5.249
-5.893 6.835 5.445

=====

11.
GGA-PBE Ac3PaCl2O6, relaxed; magnetic moment = 0.00 μB per formula unit
1.0
5.614 0.000 0.771
0.000 7.242 0.000
0.238 -3.621 6.580
Ac Pa Cl O
3 1 2 6
Cartesian
0.000 3.621 0.000
2.926 1.811 3.675
2.926 -1.811 3.675
2.807 0.000 0.385
0.779 3.621 2.805
5.074 0.000 4.546
3.936 1.738 1.391
1.917 1.884 5.960
3.845 3.621 4.979
2.008 0.000 2.371
1.917 -1.884 5.960
3.936 5.505 1.391

=====

12.
GGA-PBE AcPbClO2, relaxed; magnetic moment = 0.00 μB per formula unit
1.0
-2.700 -1.501 2.807
-2.394 -1.468 -3.088
5.938 -4.347 0.284
Ac Pb Cl O
1 1 1 2
Cartesian
1.025 -1.763 0.043
-0.304 -5.343 -0.046
-2.335 -1.850 -0.132
0.300 -3.589 1.473
0.454 -3.572 -1.474

=====

13.
GGA-PBE Ac2PrClO4, relaxed; magnetic moment = 0.00 μB per formula unit
1.0
-3.051 0.342 2.806
-1.088 -3.953 -0.701
6.055 -2.896 6.938
Ac Pr Cl O
2 1 1 4
Cartesian
-0.445 -2.582 2.914
2.361 -3.924 6.129
0.000 0.000 0.000
3.028 -1.448 3.469
0.375 -2.416 0.702
3.611 -2.285 7.288
-0.607 -0.268 2.455
4.593 -4.433 5.535

=====

14.
GGA-PBE Ac3PtCl2O6, relaxed; magnetic moment = 0.01 μB per formula unit
1.0
5.742 0.000 0.635
0.000 7.003 0.000
0.087 -3.501 6.113
Ac Pt Cl O
3 1 2 6
Cartesian
0.000 3.501 0.000
2.914 1.751 3.374
2.914 -1.751 3.374
2.871 0.000 0.318
0.638 3.501 2.782
5.190 0.000 3.966
3.984 1.638 1.151
1.845 1.863 5.597
3.880 3.501 4.669
1.948 0.000 2.080
1.845 -1.863 5.597
3.984 5.365 1.151

=====

15.
GGA-PBE AcRe2Cl2O7, relaxed; magnetic moment = 0.95 μB per formula unit
1.0
-2.499 -0.704 2.983
2.963 0.448 2.580
-2.346 13.794 7.652
Ac Re Cl O
1 2 2 7
Cartesian
0.000 0.000 0.000
-1.674 11.533 10.296
-0.208 2.006 2.920
-0.727 5.931 7.104
-1.154 7.607 6.112
0.232 -0.128 2.781
-0.554 3.674 2.999
-1.327 9.865 10.216
-1.382 1.298 4.386
1.345 1.874 4.184
-3.226 11.665 9.031
-0.499 12.240 8.830

=====

16.
GGA-PBE Ac3ReCl2O6, relaxed; magnetic moment = 1.18 μB per formula unit
1.0
-1.688 4.369 3.306
-2.163 -4.431 4.751
6.391 2.967 0.742
Ac Re Cl O
3 1 2 6
Cartesian
-1.081 -2.215 2.376
1.270 1.453 4.400
2.351 3.668 2.024
-0.844 2.185 1.653
1.087 -1.462 4.065
1.453 4.368 4.735
-1.046 2.122 3.697
3.586 0.784 5.103
1.577 1.251 6.818
0.963 1.655 1.982
4.787 3.244 2.465
-2.247 -0.338 6.335

=====

17.
GGA-PBE AcReClO4, relaxed; magnetic moment = 1.00 μB per formula unit
1.0
-2.432 1.687 6.032
3.087 -3.480 4.849
5.013 4.823 2.316
Ac Re Cl O
2 2 2 8
Cartesian
4.583 3.876 4.443
1.085 -0.846 8.754
4.042 2.356 8.556
1.626 0.674 4.641
1.183 1.099 0.718
4.485 1.931 12.479
2.777 1.971 4.340
2.891 1.058 8.856
1.855 -0.751 3.474
1.465 0.122 6.301
5.699 2.015 9.319
-0.031 1.015 3.878
4.202 2.908 6.896
3.813 3.781 9.723

=====

18.
GGA-PBE Ac3RuCl2O6, relaxed; magnetic moment = 3.00 μB per formula unit
1.0
-5.325 2.158 1.026
-2.655 -4.290 -4.757
-0.276 -1.750 6.786
Ac Ru Cl O
3 1 2 6
Cartesian
-1.328 -2.145 -2.378
-4.128 -1.941 1.528
-2.801 0.204 3.906
-2.663 1.079 0.513
-2.609 -3.646 -0.310
-5.647 -0.236 3.365
-4.471 0.081 0.122
-3.786 -3.963 2.933
-5.983 -3.425 1.374
-2.274 -0.457 1.681
-2.339 -1.625 5.525
-5.917 -2.257 -2.469

=====

19.
GGA-PBE Ac8Ru3Cl4O, relaxed; magnetic moment = 0.00 μB per formula unit
1.0
-1.661 -6.957 -4.352
6.088 2.699 -6.639
2.981 -0.560 7.811
Ac Ru Cl O
8 3 4 1
Cartesian
6.738 -0.246 1.963
5.217 0.033 -2.044
2.900 -1.342 1.039
5.884 -3.823 -0.275
1.523 -0.994 -2.905
4.507 -3.475 -4.219
2.191 -4.851 -1.136
0.669 -4.571 -5.142
2.213 -2.129 -5.495
3.704 -2.409 -1.590
4.534 1.070 0.586
-0.831 -3.479 -2.176
0.660 -3.758 1.730
0.000 0.000 0.000
1.490 -0.280 3.906
3.044 1.350 -3.319

=====

20.
GGA-PBE AcS2ClO8, relaxed; magnetic moment = 2.06 μB per formula unit
1.0
-4.917 4.123 1.225
-0.594 -4.483 -4.715
-2.255 -3.866 3.959
Ac S Cl O
1 2 1 8
Cartesian
0.000 0.000 0.000
-3.729 -4.519 0.240
-4.036 0.293 0.229
-1.127 -1.933 1.980
-3.174 -4.260 1.598
-3.393 -5.918 -0.146
-5.212 -4.393 0.307
-2.554 0.167 0.162
-4.587 -0.651 1.197
-3.178 -3.575 -0.727
-4.592 0.034 -1.128
-4.372 1.692 0.616

=====

Here are the calculated uncorrected energy numbers, same order: -53.6; -24.5; -44.4; -44.4; -69.0; -20.3; -22.8; -82.3; -142.8; -97.4; -91.6; -31.1; -60.2; -75.1; -86.4; -85.3; -107.3; -80.1; -92.4; -72.6 (eV/cell).